The following is a DFT calculation (PBE) of a relaxed structure of Cd2CuHgPb.

Properties
The calculation puts the excess energy over the best structure of this formula in the dataset at 0 meV per atom.

abc: 5.129 5.129 5.157
angles: 90.00 90.00 90.00
Atoms (fractional coordinates):
Cu 0.000 0.000 0.000
Cd 0.000 0.500 0.000
Cd 0.500 0.000 0.000
Hg 0.500 0.500 0.500
Pb 0.000 0.000 0.500

The following is a DFT calculation (PBE) of a relaxed structure of Cd2CuHgPb.

Properties
The calculation puts the excess energy over the best structure of this formula in the dataset at 30 meV per atom.

abc: 5.054 5.054 5.053
angles: 90.00 90.00 90.00
Atoms (fractional coordinates):
Cu 0.000 0.000 0.000
Cd 0.500 0.000 0.000
Cd 0.000 0.500 0.000
Hg 0.000 0.000 0.500
Pb 0.500 0.500 0.500

Number 1: E -9.11 eV per cell. Number 2: E -8.96 eV per cell.